Material: Dy4BBrCl4
Method: DFT, PBE-GGA
State: optimized geometry

The size of the total moment comes out at 0.0 μB per formula unit. The total energy comes out at -0.3698 Ry/atom.

The space group is C2/m (No. 12) and the conventional cell measures 17.1964, 3.8472 and 8.1397 Å, with angles of 90.00, 103.52 and 90.00 degrees. The distinct sites, in fractional coordinates, are Dy at (0.0008, 0.0000, 0.2915), Dy at (0.1476, 0.5000, 0.5802), B at (0.0000, 0.5000, 0.5000), Br at (0.0000, 0.5000, 0.0000), Cl at (0.1657, 0.0000, 0.8226) and Cl at (0.1720, 0.0000, 0.3501).